A plane-wave DFT calculation with PBE was carried out for SrRh2Au after structural relaxation.

Results
V: 19.5 Å³/atom
D(E_F): 1.21 states/eV per atom
Formation enthalpy at 0 K: 0.071 eV/atom

a = 3.968 Å, b = 4.557 Å, c = 8.642 Å
α = 90.00°, β = 90.00°, γ = 90.00°
Space group Imm2 (No. 44)
Symmetry-distinct sites (fractional):
Sr  0.000  0.000  0.000 [2 per cell]
Rh  0.000  0.000  0.473 [2 per cell]
Rh  0.000  0.500  0.764 [2 per cell]
Au  0.000  0.500  0.232 [2 per cell]

---

A plane-wave DFT calculation with PBE was carried out for AcEu3Au after structural relaxation.

Results
V: 41.9 Å³/atom
D(E_F): 4.95 states/eV per atom
Formation enthalpy at 0 K: -0.213 eV/atom

a = 5.938 Å, b = 5.938 Å, c = 5.938 Å
α = 90.00°, β = 90.00°, γ = 90.00°
Space group Pm-3m (No. 221)
Symmetry-distinct sites (fractional):
Ac  0.000  0.000  0.000 [1 per cell]
Eu  0.000  0.500  0.500 [3 per cell]
Au  0.500  0.500  0.500 [1 per cell]

---

A plane-wave DFT calculation with PBE was carried out for NpSi2Os after structural relaxation.

Results
V: 16.0 Å³/atom
D(E_F): 1.38 states/eV per atom
Total DFT energy (no corrections): -8.95 eV per atom

a = 2.994 Å, b = 2.994 Å, c = 7.124 Å
α = 90.00°, β = 90.00°, γ = 90.00°
Space group P4/mmm (No. 123)
Symmetry-distinct sites (fractional):
Np  0.000  0.000  0.000 [1 per cell]
Si  0.500  0.500  0.298 [2 per cell]
Os  0.000  0.000  0.500 [1 per cell]

---

A plane-wave DFT calculation with PBE was carried out for TbPrHo after structural relaxation.

Results
V: 34.6 Å³/atom
D(E_F): 1.40 states/eV per atom
Formation enthalpy at 0 K: 0.210 eV/atom
Offset from the most stable computed form: 192 meV per atom

a = 4.876 Å, b = 4.876 Å, c = 8.727 Å
α = 90.00°, β = 90.00°, γ = 90.00°
Space group P4/nmm (No. 129, origin choice 2)
Symmetry-distinct sites (fractional):
Tb  0.250  0.750  0.000 [2 per cell]
Pr  0.250  0.250  0.306 [2 per cell]
Ho  0.250  0.250  0.704 [2 per cell]

---

A plane-wave DFT calculation with PBE was carried out for Hf5Ir2Pt after structural relaxation.

Results
V: 19.5 Å³/atom
D(E_F): 0.80 states/eV per atom
Formation enthalpy at 0 K: -0.748 eV/atom

a = 7.354 Å, b = 7.354 Å, c = 11.518 Å
α = 90.00°, β = 90.00°, γ = 90.00°
Space group I4/mcm (No. 140)
Symmetry-distinct sites (fractional):
Hf  0.000  0.000  0.000 [4 per cell]
Hf  0.156  0.344  0.147 [16 per cell]
Ir  0.137  0.363  0.500 [8 per cell]
Pt  0.000  0.000  0.250 [4 per cell]

---

A plane-wave DFT calculation with PBE was carried out for KTl3 after structural relaxation.

Results
V: 35.3 Å³/atom
D(E_F): 0.55 states/eV per atom
Formation enthalpy at 0 K: 0.000 eV/atom

a = 3.9471 Å, b = 3.9471 Å, c = 10.4663 Å
α = 90.00°, β = 90.00°, γ = 120.00°
Space group P-6m2 (No. 187)
Symmetry-distinct sites (fractional):
K  0.0000  0.0000  0.0000 [1 per cell]
Tl  0.0000  0.0000  0.5000 [1 per cell]
Tl  0.6667  0.3333  0.2800 [2 per cell]

---

Copy entry 1 word for word.
A plane-wave DFT calculation with PBE was carried out for SrRh2Au after structural relaxation.

Results
V: 19.5 Å³/atom
D(E_F): 1.21 states/eV per atom
Formation enthalpy at 0 K: 0.071 eV/atom

a = 3.968 Å, b = 4.557 Å, c = 8.642 Å
α = 90.00°, β = 90.00°, γ = 90.00°
Space group Imm2 (No. 44)
Symmetry-distinct sites (fractional):
Sr  0.000  0.000  0.000 [2 per cell]
Rh  0.000  0.000  0.473 [2 per cell]
Rh  0.000  0.500  0.764 [2 per cell]
Au  0.000  0.500  0.232 [2 per cell]